No. 1
Below is a relaxed Zr2AgGe2 crystal, with properties calculated at the PBE level.

As for the total energy: -6.08 eV per atom.

It has space group P4/mbm (No. 127), with a = 8.151 Å, b = 8.151 Å, c = 3.065 Å, α = 90.00°, β = 90.00° and γ = 90.00°. The distinct sites, in fractional coordinates, are Zr at (0.136, 0.364, 0.000), Ag at (0.000, 0.000, 0.000) and Ge at (0.163, 0.663, 0.500).

***

No. 2
Below is a relaxed U2As2Ru crystal, with properties calculated at the PBE level.

As for the total energy: -8.72 eV per atom.

It has space group Cmc2_1 (No. 36), with a = 4.554 Å, b = 14.328 Å, c = 6.116 Å, α = 90.00°, β = 90.00° and γ = 90.00°. The distinct sites, in fractional coordinates, are U at (0.000, 0.022, 0.000), U at (0.000, 0.187, 0.190), As at (0.000, 0.181, 0.694), As at (0.000, 0.436, 0.764) and Ru at (0.000, 0.390, 0.148).

***

No. 3
Below is a relaxed NbVMoW2 crystal, with properties calculated at the PBE level.

As for the total energy: -10.39 eV per atom.

It has space group Cmcm (No. 63), with a = 5.731 Å, b = 10.914 Å, c = 5.722 Å, α = 90.00°, β = 90.00° and γ = 90.00°. The distinct sites, in fractional coordinates, are Nb at (0.000, 0.249, 0.250), V at (0.000, 0.137, 0.750), Mo at (0.000, 0.355, 0.750) and W at (0.247, 0.000, 0.000).

***

No. 4
Below is a relaxed ZnBiIN2 crystal, with properties calculated at the PBE level.

The value obtained for the raw formation energy is 1.431 eV/atom.

It has space group P4/mmm (No. 123), with a = 4.339 Å, b = 4.339 Å, c = 7.454 Å, α = 90.00°, β = 90.00° and γ = 90.00°. The distinct sites, in fractional coordinates, are Zn at (0.000, 0.000, 0.000), Bi at (0.500, 0.500, 0.500), I at (0.500, 0.500, 0.000) and N at (0.000, 0.500, 0.500).